Material: Nd2GaSn3Rh4
Method: DFT, PBE
State: relaxed

The structure in POSCAR format:
```
Nd2GaSn3Rh4
1.0
4.452 0.000 0.000
0.000 4.452 0.000
0.000 0.000 10.636
Nd Ga Sn Rh
2 1 3 4
Cartesian
0.000 2.226 2.625
2.226 0.000 8.011
2.226 2.226 0.000
0.000 0.000 0.000
0.000 2.226 6.731
2.226 0.000 3.904
0.000 0.000 5.318
0.000 2.226 9.307
2.226 0.000 1.329
2.226 2.226 5.318
```

## Properties
As for the symmetry: P-4m2. As for the density of states at the Fermi level: 0.728 states/eV/atom. For the formation enthalpy at 0 K, the calculation gives -7.21 eV per formula unit.

=====

Material: Ac2Mg15Al2
Method: DFT, PBE
State: relaxed

The structure in POSCAR format:
```
Ac2Mg15Al2
1.0
5.176 2.989 5.042
-5.176 2.989 5.042
0.000 -5.977 5.042
Ac Mg Al
2 15 2
Cartesian
0.000 0.000 2.627
0.000 0.000 12.499
-2.588 -1.494 5.042
0.000 -3.024 4.848
-2.619 1.512 4.848
-1.529 -2.648 7.563
-3.058 0.000 7.563
-2.619 -1.512 10.278
-2.588 1.494 10.084
1.529 -2.648 7.563
0.000 2.989 5.042
-1.529 2.648 7.563
2.619 1.512 4.847
3.058 0.000 7.563
1.529 2.648 7.563
2.619 -1.512 10.278
0.000 3.024 10.278
0.000 0.000 6.166
0.000 0.000 8.960
```

## Properties
As for the symmetry: R-3m. As for the density of states at the Fermi level: 0.351 states/eV/atom. For the formation enthalpy at 0 K, the calculation gives -1.47 eV per formula unit.

=====

Material: LiThGe4
Method: DFT, PBE
State: relaxed

The structure in POSCAR format:
```
LiThGe4
1.0
0.000 3.948 3.948
3.948 0.000 3.948
3.948 3.948 0.000
Li Th Ge
1 1 4
Cartesian
0.000 0.000 0.000
5.922 5.922 5.922
2.955 2.955 2.955
4.941 4.941 2.955
4.941 2.955 4.941
2.955 4.941 4.941
```

## Properties
As for the symmetry: F-43m. As for the density of states at the Fermi level: 0.478 states/eV/atom. For the formation enthalpy at 0 K, the calculation gives -1.25 eV per formula unit.